# 1
Computed, not measured: Na2CuI after structural relaxation at the GGA-PBE level of DFT. Values from VASP.

**Energy relative to the elements, uncorrected**: -20 kJ/mol of atoms
**DOS(E_F)**: 0.00 states/eV/cell
**Offset from the most stable computed form**: 0.5 kJ per mole of atoms
**Magnetization**: 0.00 Bohr magnetons per cell

Quantum ESPRESSO input file:
```
&SYSTEM
  ibrav = 0, nat = 4, ntyp = 3
/
ATOMIC_SPECIES
Na 22.99 Na.upf
Cu 63.55 Cu.upf
I 126.90 I.upf
ATOMIC_POSITIONS crystal
Na 0.250 0.250 0.250
Na 0.750 0.750 0.750
Cu 0.000 0.000 0.000
I 0.500 0.500 0.500
CELL_PARAMETERS angstrom
0.000 3.827 3.827
3.827 0.000 3.827
3.827 3.827 0.000
```

=====

# 2
Computed, not measured: Na2CuI4 after structural relaxation at the GGA-PBE level of DFT. Values from VASP.

**Energy relative to the elements, uncorrected**: -67 kJ/mol of atoms
**DOS(E_F)**: 14.21 states/eV/cell
**Offset from the most stable computed form**: 0.0 kJ per mole of atoms
**Magnetization**: 0.00 Bohr magnetons per cell

Quantum ESPRESSO input file:
```
&SYSTEM
  ibrav = 0, nat = 14, ntyp = 3
/
ATOMIC_SPECIES
Na 22.99 Na.upf
Cu 63.55 Cu.upf
I 126.90 I.upf
ATOMIC_POSITIONS crystal
Na 0.232 0.250 0.433
Na 0.235 0.250 0.936
Na 0.765 0.750 0.064
Na 0.768 0.750 0.567
Cu 0.255 0.750 0.686
Cu 0.745 0.250 0.314
I 0.070 0.750 0.885
I 0.071 0.750 0.397
I 0.498 0.005 0.751
I 0.498 0.495 0.751
I 0.502 0.505 0.249
I 0.502 0.995 0.249
I 0.929 0.250 0.603
I 0.930 0.250 0.115
CELL_PARAMETERS angstrom
7.876 0.000 0.000
0.000 7.151 0.000
-2.542 0.000 8.619
```

=====

# 3
Computed, not measured: NaCuI after structural relaxation at the GGA-PBE level of DFT. Values from VASP.

**Energy relative to the elements, uncorrected**: -6 kJ/mol of atoms
**DOS(E_F)**: 0.78 states/eV/cell
**Offset from the most stable computed form**: 28.6 kJ per mole of atoms
**Magnetization**: 0.00 Bohr magnetons per cell

Quantum ESPRESSO input file:
```
&SYSTEM
  ibrav = 0, nat = 3, ntyp = 3
/
ATOMIC_SPECIES
Na 22.99 Na.upf
Cu 63.55 Cu.upf
I 126.90 I.upf
ATOMIC_POSITIONS crystal
Na 0.000 0.000 0.000
Cu 0.501 0.501 0.752
I 0.501 0.501 0.253
CELL_PARAMETERS angstrom
4.016 -2.947 0.000
4.016 2.947 0.000
-3.683 0.000 4.020
```

=====

# 4
Computed, not measured: NaCuI after structural relaxation at the GGA-PBE level of DFT. Values from VASP.

**Energy relative to the elements, uncorrected**: -6 kJ/mol of atoms
**DOS(E_F)**: 1.04 states/eV/cell
**Offset from the most stable computed form**: 29.2 kJ per mole of atoms
**Magnetization**: 0.00 Bohr magnetons per cell

Quantum ESPRESSO input file:
```
&SYSTEM
  ibrav = 0, nat = 3, ntyp = 3
/
ATOMIC_SPECIES
Na 22.99 Na.upf
Cu 63.55 Cu.upf
I 126.90 I.upf
ATOMIC_POSITIONS crystal
Na 0.000 0.000 0.000
Cu 0.371 0.500 0.772
I 0.704 0.500 0.366
CELL_PARAMETERS angstrom
4.136 0.000 0.000
0.000 4.222 0.000
-1.872 0.000 4.689
```

=====

# 5
Computed, not measured: Na3CuI4 after structural relaxation at the GGA-PBE level of DFT. Values from VASP.

**Energy relative to the elements, uncorrected**: -89 kJ/mol of atoms
**DOS(E_F)**: 0.00 states/eV/cell
**Magnetization**: 0.18 Bohr magnetons per cell

Quantum ESPRESSO input file:
```
&SYSTEM
  ibrav = 0, nat = 8, ntyp = 3
/
ATOMIC_SPECIES
Na 22.99 Na.upf
Cu 63.55 Cu.upf
I 126.90 I.upf
ATOMIC_POSITIONS crystal
Na 0.000 0.000 0.000
Na 0.250 0.750 0.500
Na 0.750 0.250 0.500
Cu 0.500 0.500 0.000
I 0.165 0.165 0.555
I 0.390 0.835 0.000
I 0.610 0.610 0.445
I 0.835 0.390 0.000
CELL_PARAMETERS angstrom
-3.471 3.471 6.715
3.471 -3.471 6.715
3.471 3.471 -6.715
```

=====

# 6
Computed, not measured: NaCuI after structural relaxation at the GGA-PBE level of DFT. Values from VASP.

**Energy relative to the elements, uncorrected**: -29 kJ/mol of atoms
**Offset from the most stable computed form**: 5.6 kJ per mole of atoms
**Magnetization**: 0.00 Bohr magnetons per cell

Quantum ESPRESSO input file:
```
&SYSTEM
  ibrav = 0, nat = 6, ntyp = 3
/
ATOMIC_SPECIES
Na 22.99 Na.upf
Cu 63.55 Cu.upf
I 126.90 I.upf
ATOMIC_POSITIONS crystal
Na 0.000 0.000 0.000
Na 0.001 0.368 0.392
Cu 0.493 0.744 0.275
Cu 0.994 0.860 0.420
I 0.504 0.422 0.063
I 0.505 0.020 0.640
CELL_PARAMETERS angstrom
4.009 0.000 0.000
0.031 6.031 0.000
0.033 1.191 7.410
```

=====

# 7
Computed, not measured: Na2CuI after structural relaxation at the GGA-PBE level of DFT. Values from VASP.

**Energy relative to the elements, uncorrected**: -21 kJ/mol of atoms
**DOS(E_F)**: 0.00 states/eV/cell
**Offset from the most stable computed form**: 0.0 kJ per mole of atoms
**Magnetization**: 0.00 Bohr magnetons per cell

Quantum ESPRESSO input file:
```
&SYSTEM
  ibrav = 0, nat = 8, ntyp = 3
/
ATOMIC_SPECIES
Na 22.99 Na.upf
Cu 63.55 Cu.upf
I 126.90 I.upf
ATOMIC_POSITIONS crystal
Na 0.107 0.625 0.982
Na 0.375 0.357 0.482
Na 0.643 0.125 0.018
Na 0.875 0.893 0.518
Cu 0.000 0.000 0.000
Cu 0.750 0.250 0.500
I 0.250 0.750 0.500
I 0.500 0.500 0.000
CELL_PARAMETERS angstrom
-3.950 3.950 4.434
3.950 -3.950 4.434
3.950 3.950 -4.434
```

=====

# 8
Computed, not measured: NaCu2IO6 after structural relaxation at the GGA-PBE level of DFT. Values from VASP.

**Energy relative to the elements, uncorrected**: -50 kJ/mol of atoms
**DOS(E_F)**: 8.09 states/eV/cell
**Magnetization**: 0.00 Bohr magnetons per cell

Quantum ESPRESSO input file:
```
&SYSTEM
  ibrav = 0, nat = 20, ntyp = 4
/
ATOMIC_SPECIES
Na 22.99 Na.upf
Cu 63.55 Cu.upf
I 126.90 I.upf
O 16.00 O.upf
ATOMIC_POSITIONS crystal
Na 0.087 0.913 0.750
Na 0.913 0.087 0.250
Cu 0.150 0.323 0.897
Cu 0.323 0.150 0.397
Cu 0.677 0.850 0.603
Cu 0.850 0.677 0.103
I 0.280 0.720 0.250
I 0.720 0.280 0.750
O 0.023 0.755 0.374
O 0.098 0.654 0.957
O 0.245 0.977 0.126
O 0.298 0.359 0.201
O 0.346 0.902 0.543
O 0.359 0.298 0.701
O 0.641 0.702 0.299
O 0.654 0.098 0.457
O 0.702 0.641 0.799
O 0.755 0.023 0.874
O 0.902 0.346 0.043
O 0.977 0.245 0.626
CELL_PARAMETERS angstrom
5.177 -4.552 0.000
5.177 4.552 0.000
-0.756 0.000 5.553
```

=====

# 9
Computed, not measured: NaCuIO4 after structural relaxation at the GGA-PBE level of DFT. Values from VASP.

**Energy relative to the elements, uncorrected**: -55 kJ/mol of atoms
**DOS(E_F)**: 3.30 states/eV/cell
**Magnetization**: 1.97 Bohr magnetons per cell

Quantum ESPRESSO input file:
```
&SYSTEM
  ibrav = 0, nat = 14, ntyp = 4
/
ATOMIC_SPECIES
Na 22.99 Na.upf
Cu 63.55 Cu.upf
I 126.90 I.upf
O 16.00 O.upf
ATOMIC_POSITIONS crystal
Na 0.421 0.171 0.250
Na 0.579 0.829 0.750
Cu 0.000 0.000 0.500
Cu 0.000 0.500 0.000
I 0.000 0.500 0.500
I 0.500 0.500 0.000
O 0.157 0.707 0.450
O 0.243 0.293 0.950
O 0.265 0.281 0.516
O 0.265 0.749 0.984
O 0.735 0.251 0.016
O 0.735 0.719 0.484
O 0.757 0.707 0.050
O 0.843 0.293 0.550
CELL_PARAMETERS angstrom
-2.971 3.249 5.124
2.971 -3.249 5.124
2.971 3.249 -5.124
```

=====

# 10
Computed, not measured: NaCuI2O after structural relaxation at the GGA-PBE level of DFT. Values from VASP.

**Energy relative to the elements, uncorrected**: 47 kJ/mol of atoms
**DOS(E_F)**: 12.08 states/eV/cell
**Offset from the most stable computed form**: 87.1 kJ per mole of atoms
**Magnetization**: 0.22 Bohr magnetons per cell

Quantum ESPRESSO input file:
```
&SYSTEM
  ibrav = 0, nat = 5, ntyp = 4
/
ATOMIC_SPECIES
Na 22.99 Na.upf
Cu 63.55 Cu.upf
I 126.90 I.upf
O 16.00 O.upf
ATOMIC_POSITIONS crystal
Na 0.000 0.000 0.000
Cu 0.500 0.500 0.500
I 0.000 0.500 0.000
I 0.500 0.000 0.000
O 0.000 0.000 0.500
CELL_PARAMETERS angstrom
5.780 0.000 0.000
0.000 5.780 0.000
0.000 0.000 4.111
```

=====

# 11
Computed, not measured: NaCuIO2 after structural relaxation at the GGA-PBE level of DFT. Values from VASP.

**Energy relative to the elements, uncorrected**: -16 kJ/mol of atoms
**DOS(E_F)**: 4.24 states/eV/cell
**Offset from the most stable computed form**: 0.0 kJ per mole of atoms
**Magnetization**: 1.71 Bohr magnetons per cell

Quantum ESPRESSO input file:
```
&SYSTEM
  ibrav = 0, nat = 5, ntyp = 4
/
ATOMIC_SPECIES
Na 22.99 Na.upf
Cu 63.55 Cu.upf
I 126.90 I.upf
O 16.00 O.upf
ATOMIC_POSITIONS crystal
Na 0.000 0.000 0.000
Cu 0.500 0.500 0.500
I 0.500 0.500 0.000
O 0.000 0.500 0.500
O 0.500 0.000 0.500
CELL_PARAMETERS angstrom
4.016 0.000 0.000
0.000 4.016 0.000
0.000 0.000 5.510
```

=====

The highest energy relative to the elements, uncorrected belongs to which entry? NaCuI2O